A relaxed structure of Ho2ErNpAs4. Source: Alexandria via LeMat-Bulk, functional PBE-GGA.

a = 4.0894 Å, b = 7.0892 Å, c = 7.0913 Å
α = 109.32°, β = 90.00°, γ = 90.00°
Closest atoms and distances in Å follow each position.
Atoms (fractional coordinates):
Ho 0.5000 0.0000 0.5000  6 As 2.90
As 0.0000 0.2495 0.7521  1 Np 2.88, 2 Er 2.89, 3 Ho 2.90-2.91
Er 0.5000 0.5000 0.0000  6 As 2.89
As 0.5000 0.7503 0.7511  1 Er 2.89, 2 Np 2.89, 3 Ho 2.90
Np 0.0000 0.0000 0.0000  6 As 2.88-2.89
Ho 0.0000 0.5000 0.5000  6 As 2.90-2.91
As 0.0000 0.7505 0.2479  1 Np 2.88, 2 Er 2.89, 3 Ho 2.90-2.91
As 0.5000 0.2497 0.2489  1 Er 2.89, 2 Np 2.89, 3 Ho 2.90

E_form	-1.305	eV per atom

A relaxed structure of Ho4Er3PaAs8. Source: Alexandria via LeMat-Bulk, functional PBE-GGA.

a = 8.1727 Å, b = 8.1761 Å, c = 8.1733 Å
α = 119.99°, β = 120.00°, γ = 90.00°
Closest atoms and distances in Å follow each position.
Atoms (fractional coordinates):
Ho 0.5000 0.0000 0.5000  6 As 2.89
As 0.7518 0.2525 0.5035  1 Pa 2.87, 2 Er 2.89, 3 Ho 2.89-2.91
Ho 0.0000 0.0000 0.0000  6 As 2.89
Er 0.5000 0.5000 0.0000  6 As 2.89
Pa 0.0000 0.5000 0.0000  6 As 2.87
Ho 0.5000 0.0000 0.0000  6 As 2.91
As 0.7510 0.7475 0.9992  1 Pa 2.87, 2 Er 2.89, 3 Ho 2.89-2.91
Er 0.0000 0.5000 0.5000  6 As 2.89
Er 0.5000 0.5000 0.5000  6 As 2.89
As 0.7496 0.7489 0.4992  3 Er 2.89, 3 Ho 2.89
As 0.2490 0.2525 0.0008  1 Pa 2.87, 2 Er 2.89, 3 Ho 2.89-2.91
As 0.2504 0.2511 0.5008  3 Er 2.89, 3 Ho 2.89
Ho 0.0000 0.0000 0.5000  6 As 2.89
As 0.2482 0.7475 0.4965  1 Pa 2.87, 2 Er 2.89, 3 Ho 2.89-2.91
As 0.7518 0.2525 0.0008  1 Pa 2.87, 2 Er 2.89, 3 Ho 2.89-2.91
As 0.2482 0.7475 0.9992  1 Pa 2.87, 2 Er 2.89, 3 Ho 2.89-2.91

E_form	-1.473	eV per atom

A relaxed structure of Ho2ErPaAs4. Source: Alexandria via LeMat-Bulk, functional PBE-GGA.

a = 4.0971 Å, b = 7.0722 Å, c = 7.0769 Å
α = 109.49°, β = 90.00°, γ = 90.00°
Closest atoms and distances in Å follow each position.
Atoms (fractional coordinates):
Er 0.0000 0.0000 0.0000  6 As 2.88-2.89
As 0.5000 0.2510 0.2474  1 Pa 2.87, 2 Er 2.89, 3 Ho 2.90-2.91
Pa 0.5000 0.5000 0.0000  6 As 2.87-2.89
As 0.5000 0.7490 0.7526  1 Pa 2.87, 2 Er 2.89, 3 Ho 2.90-2.91
As 0.0000 0.7496 0.2488  1 Er 2.88, 2 Pa 2.89, 3 Ho 2.89-2.90
Ho 0.0000 0.5000 0.5000  6 As 2.89-2.90
As 0.0000 0.2504 0.7512  1 Er 2.88, 2 Pa 2.89, 3 Ho 2.89-2.90
Ho 0.5000 0.0000 0.5000  6 As 2.90-2.91

E_form	-1.408	eV per atom

Values of volume, in order: 194.0 386.3 193.3, all in Å³/f.u..